CaBeGe3 | GGA-PBE | relaxed

abc: 5.395 5.395 5.395
angles: 90.00 90.00 90.00
Atoms (fractional coordinates):
Be: 0.500 0.500 0.500
Ge: 0.000 0.500 0.000
Ge: 0.000 0.000 0.500
Ge: 0.500 0.000 0.000
Ca: 0.000 0.000 0.000

Calculated values
Formation enthalpy at 0 K ... 1479 meV per atom
Excess energy over the best structure of this formula in the dataset ... 1412 meV/atom

CaBeGe3 | GGA-PBE | relaxed

abc: 4.635 4.635 4.635
angles: 90.00 90.00 90.00
Atoms (fractional coordinates):
Be: 0.000 0.000 0.000
Ge: 0.000 0.500 0.000
Ge: 0.000 0.000 0.500
Ge: 0.500 0.000 0.000
Ca: 0.500 0.500 0.500

Calculated values
Formation enthalpy at 0 K ... 68 meV per atom
Excess energy over the best structure of this formula in the dataset ... 0 meV/atom

Ca2BeGe3Ir4 | GGA-PBE | relaxed

abc: 4.167 4.167 10.186
angles: 90.00 90.00 90.00
Atoms (fractional coordinates):
Ca: 0.500 0.000 0.255
Ca: 0.000 0.500 0.745
Be: 0.500 0.500 0.500
Ge: 0.000 0.000 0.500
Ge: 0.500 0.000 0.867
Ge: 0.000 0.500 0.133
Ir: 0.500 0.500 0.000
Ir: 0.000 0.000 0.000
Ir: 0.500 0.000 0.624
Ir: 0.000 0.500 0.376

Calculated values
Formation enthalpy at 0 K ... -602 meV per atom

Ca2Be4Ge3Ir | GGA-PBE | relaxed

abc: 3.902 3.902 10.122
angles: 90.00 90.00 90.00
Atoms (fractional coordinates):
Ca: 0.500 0.000 0.246
Ca: 0.000 0.500 0.754
Be: 0.500 0.500 0.000
Be: 0.000 0.000 0.000
Be: 0.500 0.000 0.632
Be: 0.000 0.500 0.368
Ge: 0.000 0.000 0.500
Ge: 0.500 0.000 0.868
Ge: 0.000 0.500 0.132
Ir: 0.500 0.500 0.500

Calculated values
Formation enthalpy at 0 K ... -333 meV per atom

Ca2Be2GeN4 | GGA-PBE | relaxed

abc: 3.006 5.997 5.631
angles: 109.18 90.00 104.51
Atoms (fractional coordinates):
Ca: 0.868 0.736 0.453
Ca: 0.132 0.264 0.547
Be: 0.320 0.639 0.998
Be: 0.680 0.361 0.002
Ge: 0.000 0.000 0.000
N: 0.792 0.585 0.827
N: 0.208 0.415 0.173
N: 0.471 0.942 0.215
N: 0.529 0.058 0.785

Calculated values
Formation energy (no corrections) ... -711 meV per atom

CaBeNiGe2 | GGA-PBE | relaxed

abc: 3.991 3.991 5.863
angles: 109.90 109.90 90.00
Atoms (fractional coordinates):
Ca: 0.000 0.000 0.000
Be: 0.750 0.250 0.500
Ni: 0.250 0.750 0.500
Ge: 0.626 0.626 0.252
Ge: 0.374 0.374 0.748

Calculated values
Formation enthalpy at 0 K ... -413 meV per atom

Ca2Be3NiGe4 | GGA-PBE | relaxed

abc: 4.042 4.042 9.902
angles: 90.00 90.00 90.00
Atoms (fractional coordinates):
Ca: 0.500 0.000 0.254
Ca: 0.000 0.500 0.746
Be: 0.000 0.000 0.500
Be: 0.500 0.000 0.866
Be: 0.000 0.500 0.134
Ni: 0.500 0.500 0.500
Ge: 0.500 0.500 0.000
Ge: 0.000 0.000 0.000
Ge: 0.500 0.000 0.631
Ge: 0.000 0.500 0.369

Calculated values
Formation enthalpy at 0 K ... -317 meV per atom

Ca2Be2GeO6 | GGA-PBE | relaxed

abc: 5.217 5.217 5.860
angles: 63.57 63.57 60.00
Atoms (fractional coordinates):
Ca: 0.788 0.788 0.636
Ca: 0.212 0.212 0.364
Be: 0.411 0.411 0.766
Be: 0.589 0.589 0.234
Ge: 0.000 0.000 0.000
O: 0.756 0.756 0.240
O: 0.249 0.756 0.240
O: 0.756 0.249 0.240
O: 0.244 0.751 0.760
O: 0.751 0.244 0.760
O: 0.244 0.244 0.760

Calculated values
Formation energy (no corrections) ... -2437 meV per atom

CaBe4Ge3O12 | GGA-PBE | relaxed

abc: 6.184 6.184 6.184
angles: 106.17 106.17 106.17
Atoms (fractional coordinates):
Ca: 0.000 0.000 0.000
Be: 0.935 0.065 0.500
Be: 0.065 0.500 0.935
Be: 0.500 0.935 0.065
Be: 0.500 0.500 0.500
Ge: 0.558 0.442 0.000
Ge: 0.442 0.000 0.558
Ge: 0.000 0.558 0.442
O: 0.500 0.342 0.658
O: 0.906 0.500 0.094
O: 0.094 0.906 0.500
O: 0.500 0.094 0.906
O: 0.361 0.965 0.235
O: 0.235 0.361 0.965
O: 0.965 0.235 0.361
O: 0.639 0.765 0.035
O: 0.035 0.639 0.765
O: 0.765 0.035 0.639
O: 0.658 0.500 0.342
O: 0.342 0.658 0.500

Calculated values
Formation energy (no corrections) ... -1974 meV per atom

CaBeGe2O6 | GGA-PBE | relaxed

abc: 5.701 7.050 7.050
angles: 87.20 72.32 72.32
Atoms (fractional coordinates):
Ca: 0.250 0.874 0.126
Ca: 0.750 0.126 0.874
Be: 0.250 0.197 0.803
Be: 0.750 0.803 0.197
Ge: 0.342 0.781 0.611
Ge: 0.158 0.389 0.219
Ge: 0.658 0.219 0.389
Ge: 0.842 0.611 0.781
O: 0.193 0.978 0.796
O: 0.307 0.204 0.022
O: 0.807 0.022 0.204
O: 0.693 0.796 0.978
O: 0.472 0.827 0.363
O: 0.028 0.637 0.173
O: 0.528 0.173 0.637
O: 0.972 0.363 0.827
O: 0.069 0.707 0.602
O: 0.431 0.398 0.293
O: 0.931 0.293 0.398
O: 0.569 0.602 0.707

Calculated values
Formation energy (no corrections) ... -2192 meV per atom

CaBeGeO4 | GGA-PBE | relaxed

abc: 5.428 5.428 5.943
angles: 90.00 90.00 111.39
Atoms (fractional coordinates):
Ca: 0.500 0.500 0.500
Ca: 0.500 0.500 0.000
Be: 0.139 0.861 0.250
Be: 0.861 0.139 0.750
Ge: 0.864 0.136 0.250
Ge: 0.136 0.864 0.750
O: 0.198 0.215 0.750
O: 0.785 0.802 0.750
O: 0.764 0.236 0.991
O: 0.764 0.236 0.509
O: 0.236 0.764 0.009
O: 0.236 0.764 0.491
O: 0.802 0.785 0.250
O: 0.215 0.198 0.250

Calculated values
Formation energy (no corrections) ... -2325 meV per atom

Ca2BeGePb | GGA-PBE | relaxed

abc: 5.636 5.303 5.636
angles: 90.00 90.00 90.00
Atoms (fractional coordinates):
Pb: 0.000 0.500 0.000
Be: 0.500 0.500 0.500
Ge: 0.000 0.000 0.000
Ca: 0.000 0.000 0.500
Ca: 0.500 0.000 0.000

Calculated values
Formation enthalpy at 0 K ... 448 meV per atom

Repeat the sixth record exactly.
CaBeNiGe2 | GGA-PBE | relaxed

abc: 3.991 3.991 5.863
angles: 109.90 109.90 90.00
Atoms (fractional coordinates):
Ca: 0.000 0.000 0.000
Be: 0.750 0.250 0.500
Ni: 0.250 0.750 0.500
Ge: 0.626 0.626 0.252
Ge: 0.374 0.374 0.748

Calculated values
Formation enthalpy at 0 K ... -413 meV per atom